Zr2AuCl (PBE, optimized geometry); total magnetic moment = 0.000 μB per formula unit; polymorph energy (0 for the lowest one) = 17.12 kJ per mole of atoms; raw total energy = -0.4435 Ry per atom; D(E_F) = 0.889 states/eV/atom; energy relative to the elements, uncorrected = -0.479 eV/atom
1.0
3.4160 0.0000 0.0000
0.0000 3.8535 0.0000
0.0000 0.0000 6.3222
Zr Au Cl
2 1 1
direct
0.0000 0.0000 0.0000
0.5000 0.5000 0.3257
0.0000 0.0000 0.5223
0.5000 0.5000 0.9006